## TlAsNF2 (GGA-PBEsol)

Data for an optimized crystal structure of TlAsNF2.

Geometry as CIF:
```
data_TlAsNF2
_cell_length_a 4.342
_cell_length_b 4.342
_cell_length_c 4.346
_cell_angle_alpha 90.00
_cell_angle_beta 90.00
_cell_angle_gamma 90.00
_symmetry_space_group_name_H-M 'P 1'
_symmetry_Int_Tables_number 1
loop_
_symmetry_equiv_pos_as_xyz
'x,y,z'
loop_
_atom_site_label
_atom_site_type_symbol
_atom_site_fract_x
_atom_site_fract_y
_atom_site_fract_z
Tl1 Tl 0.000 0.000 0.000
N1 N 0.000 0.000 0.500
As1 As 0.500 0.500 0.500
F1 F 0.000 0.500 0.000
F2 F 0.500 0.000 0.000
```

Results
- Space group: P4/mmm (123)
- Calculated total energy: -3.851 eV per atom
- Uncorrected formation energy: 0.173 eV/atom

---

## CdTc2Ir (GGA-PBEsol)

Data for an optimized crystal structure of CdTc2Ir.

Geometry as CIF:
```
data_CdTc2Ir
_cell_length_a 2.751
_cell_length_b 4.788
_cell_length_c 4.871
_cell_angle_alpha 100.08
_cell_angle_beta 90.00
_cell_angle_gamma 106.70
_symmetry_space_group_name_H-M 'P 1'
_symmetry_Int_Tables_number 1
loop_
_symmetry_equiv_pos_as_xyz
'x,y,z'
loop_
_atom_site_label
_atom_site_type_symbol
_atom_site_fract_x
_atom_site_fract_y
_atom_site_fract_z
Cd1 Cd 0.502 0.005 0.509
Ir1 Ir 0.262 0.524 0.763
Tc1 Tc 0.997 0.994 0.014
Tc2 Tc 0.739 0.477 0.214
```

Results
- Space group: Cm (8)
- Calculated total energy: -8.135 eV per atom

---

## Ca2InP (GGA-PBEsol)

Data for an optimized crystal structure of Ca2InP.

Geometry as CIF:
```
data_Ca2InP
_cell_length_a 5.151
_cell_length_b 5.151
_cell_length_c 5.151
_cell_angle_alpha 60.00
_cell_angle_beta 60.00
_cell_angle_gamma 60.00
_symmetry_space_group_name_H-M 'P 1'
_symmetry_Int_Tables_number 1
loop_
_symmetry_equiv_pos_as_xyz
'x,y,z'
loop_
_atom_site_label
_atom_site_type_symbol
_atom_site_fract_x
_atom_site_fract_y
_atom_site_fract_z
Ca1 Ca 0.250 0.250 0.250
Ca2 Ca 0.750 0.750 0.750
In1 In 0.000 0.000 0.000
P1 P 0.500 0.500 0.500
```

Results
- Space group: Fm-3m (225)
- Calculated total energy: -3.766 eV per atom

---

In the order shown, the computed volume values come out to 82, 60, 97 Å³ per cell.